# PBE-GGA Y2GaOsAu, optimized geometry
data_Y2GaOsAu
_chemical_formula_sum 'Y2 Ga1 Os1 Au1'
_cell_length_a 5.420
_cell_length_b 5.420
_cell_length_c 4.583
_cell_angle_alpha 90.00
_cell_angle_beta 90.00
_cell_angle_gamma 90.00
_space_group_name_H-M_alt 'P 4/m m m'
_space_group_IT_number 123
_space_group_name_Hall '-P 4 2'
loop_
_atom_site_label
_atom_site_fract_x
_atom_site_fract_y
_atom_site_fract_z
Y1 0.000 0.500 0.000
Ga1 0.000 0.000 0.500
Os1 0.500 0.500 0.500
Au1 0.000 0.000 0.000
# V in Å³ per atom: 26.9
# Final energy in eV per atom: -5.490
# E_form in eV/atom: 0.602
# Mass density in g cm⁻³: 7.83
# Spin magnetization in Bohr magnetons per cell: 0.569
# Crystal system: tetragonal